# Rb2PSeF5 | the Alexandria database | GGA-PBE | relaxed
# Calculated total energy (eV per atom): -4.52
data_Rb2PSeF5
_chemical_formula_sum 'Rb4 P2 Se2 F10'
_cell_length_a 6.741
_cell_length_b 6.741
_cell_length_c 8.646
_cell_angle_alpha 90.00
_cell_angle_beta 90.00
_cell_angle_gamma 90.00
_space_group_name_H-M_alt 'I 4 m m'
_space_group_IT_number 107
_space_group_name_Hall 'I 4 -2'
loop_
_atom_site_label
_atom_site_type_symbol
_atom_site_fract_x
_atom_site_fract_y
_atom_site_fract_z
Rb1 Rb 0.000 0.500 0.000
P1 P 0.000 0.000 0.245
Se1 Se 0.000 0.000 0.984
F1 F 0.000 0.000 0.441
F2 F 0.178 0.178 0.260

# Ag2PbS2 | the Alexandria database | GGA-PBE | relaxed
# Polymorph energy (0 for the lowest one) (meV per atom): 0
data_Ag2PbS2
_chemical_formula_sum 'Ag8 Pb4 S8'
_cell_length_a 6.098
_cell_length_b 6.098
_cell_length_c 12.935
_cell_angle_alpha 90.00
_cell_angle_beta 90.00
_cell_angle_gamma 90.00
_space_group_name_H-M_alt 'I 41/a m d'
_space_group_IT_number 141
loop_
_space_group_symop_operation_xyz
'x,y,z'
'-x,-y,-z'
'-y+1/4,x+3/4,z+1/4'
'y+1/4,-x+3/4,-z+1/4'
'-x+1/2,-y,z+1/2'
'x+1/2,y,-z+1/2'
'y+1/4,-x+1/4,z+3/4'
'-y+1/4,x+1/4,-z+3/4'
'x,-y,-z'
'-x,y,z'
'-y+1/4,-x+1/4,-z+3/4'
'y+1/4,x+1/4,z+3/4'
'-x+1/2,y,-z+1/2'
'x+1/2,-y,z+1/2'
'y+1/4,x+3/4,-z+1/4'
'-y+1/4,-x+3/4,z+1/4'
'x+1/2,y+1/2,z+1/2'
'-x+1/2,-y+1/2,-z+1/2'
'-y+3/4,x+1/4,z+3/4'
'y+3/4,-x+1/4,-z+3/4'
'-x,-y+1/2,z'
'x,y+1/2,-z'
'y+3/4,-x+3/4,z+1/4'
'-y+3/4,x+3/4,-z+1/4'
'x+1/2,-y+1/2,-z+1/2'
'-x+1/2,y+1/2,z+1/2'
'-y+3/4,-x+3/4,-z+1/4'
'y+3/4,x+3/4,z+1/4'
'-x,y+1/2,-z'
'x,-y+1/2,z'
'y+3/4,x+1/4,-z+3/4'
'-y+3/4,-x+1/4,z+3/4'
loop_
_atom_site_label
_atom_site_type_symbol
_atom_site_fract_x
_atom_site_fract_y
_atom_site_fract_z
Ag1 Ag 0.000 0.000 0.000
Pb1 Pb 0.000 0.250 0.375
S1 S 0.000 0.250 0.143

# Nd2BiBr | the Alexandria database | GGA-PBE | relaxed
# Polymorph energy (0 for the lowest one) (meV per atom): 149
data_Nd2BiBr
_chemical_formula_sum 'Nd6 Bi3 Br3'
_cell_length_a 4.7963
_cell_length_b 4.7963
_cell_length_c 26.5592
_cell_angle_alpha 90.00
_cell_angle_beta 90.00
_cell_angle_gamma 120.00
_space_group_name_H-M_alt 'R -3 m'
_space_group_IT_number 166
_space_group_name_Hall '-R 3 2"'
loop_
_atom_site_label
_atom_site_type_symbol
_atom_site_fract_x
_atom_site_fract_y
_atom_site_fract_z
Nd1 Nd 0.0000 0.0000 0.1095
Bi1 Bi 0.0000 0.0000 0.5000
Br1 Br 0.0000 0.0000 0.0000

# Ce2NdW2C4 | the Alexandria database | GGA-PBE | relaxed
# Calculated total energy (eV per atom): -8.84
data_Ce2NdW2C4
_chemical_formula_sum 'Ce4 Nd2 W4 C8'
_cell_length_a 16.847
_cell_length_b 3.468
_cell_length_c 5.758
_cell_angle_alpha 90.00
_cell_angle_beta 93.24
_cell_angle_gamma 90.00
_space_group_name_H-M_alt 'C 1 2/m 1'
_space_group_IT_number 12
loop_
_space_group_symop_operation_xyz
'x,y,z'
'-x,-y,-z'
'-x,y,-z'
'x,-y,z'
'x+1/2,y+1/2,z'
'-x+1/2,-y+1/2,-z'
'-x+1/2,y+1/2,-z'
'x+1/2,-y+1/2,z'
loop_
_atom_site_label
_atom_site_type_symbol
_atom_site_fract_x
_atom_site_fract_y
_atom_site_fract_z
Ce1 Ce 0.157 0.000 0.077
Nd1 Nd 0.000 0.000 0.500
W1 W 0.188 0.500 0.562
C1 C 0.094 0.500 0.344
C2 C 0.236 0.000 0.724

# Na3Cd2 | the Alexandria database | GGA-PBE | relaxed
# Polymorph energy (0 for the lowest one) (meV per atom): 0
data_Na3Cd2
_chemical_formula_sum 'Na6 Cd4'
_cell_length_a 9.267
_cell_length_b 5.207
_cell_length_c 6.453
_cell_angle_alpha 90.00
_cell_angle_beta 121.16
_cell_angle_gamma 90.00
_space_group_name_H-M_alt 'C 1 2/m 1'
_space_group_IT_number 12
loop_
_space_group_symop_operation_xyz
'x,y,z'
'-x,-y,-z'
'-x,y,-z'
'x,-y,z'
'x+1/2,y+1/2,z'
'-x+1/2,-y+1/2,-z'
'-x+1/2,y+1/2,-z'
'x+1/2,-y+1/2,z'
loop_
_atom_site_label
_atom_site_type_symbol
_atom_site_fract_x
_atom_site_fract_y
_atom_site_fract_z
Na1 Na 0.000 0.000 0.000
Na2 Na 0.094 0.500 0.787
Cd1 Cd 0.191 0.000 0.576

# Nd5Ga4Pd | the Alexandria database | GGA-PBE | relaxed
# Calculated total energy (eV per atom): -4.70
data_Nd5Ga4Pd
_chemical_formula_sum 'Nd5 Ga4 Pd1'
_cell_length_a 3.677
_cell_length_b 3.677
_cell_length_c 18.466
_cell_angle_alpha 90.00
_cell_angle_beta 90.00
_cell_angle_gamma 90.00
_space_group_name_H-M_alt 'P 4/m m m'
_space_group_IT_number 123
_space_group_name_Hall '-P 4 2'
loop_
_atom_site_label
_atom_site_type_symbol
_atom_site_fract_x
_atom_site_fract_y
_atom_site_fract_z
Nd1 Nd 0.000 0.000 0.000
Nd2 Nd 0.000 0.000 0.201
Nd3 Nd 0.000 0.000 0.404
Ga1 Ga 0.500 0.500 0.100
Ga2 Ga 0.500 0.500 0.302
Pd1 Pd 0.500 0.500 0.500

Repeat the fifth record exactly.
# Na3Cd2 | the Alexandria database | GGA-PBE | relaxed
# Polymorph energy (0 for the lowest one) (meV per atom): 0
data_Na3Cd2
_chemical_formula_sum 'Na6 Cd4'
_cell_length_a 9.267
_cell_length_b 5.207
_cell_length_c 6.453
_cell_angle_alpha 90.00
_cell_angle_beta 121.16
_cell_angle_gamma 90.00
_space_group_name_H-M_alt 'C 1 2/m 1'
_space_group_IT_number 12
loop_
_space_group_symop_operation_xyz
'x,y,z'
'-x,-y,-z'
'-x,y,-z'
'x,-y,z'
'x+1/2,y+1/2,z'
'-x+1/2,-y+1/2,-z'
'-x+1/2,y+1/2,-z'
'x+1/2,-y+1/2,z'
loop_
_atom_site_label
_atom_site_type_symbol
_atom_site_fract_x
_atom_site_fract_y
_atom_site_fract_z
Na1 Na 0.000 0.000 0.000
Na2 Na 0.094 0.500 0.787
Cd1 Cd 0.191 0.000 0.576

What is the formula in the sixth record? Nd5Ga4Pd